Record 1
LiIn5Cl6 after structural relaxation, computed with PBE-GGA.

Unit cell a=8.046 b=7.648 c=7.129 alpha=81.75 beta=55.65 gamma=75.26
Fractional coordinates of all 12 atoms:
In1 0.500 0.500 0.000
In2 0.345 0.000 0.309
In3 0.655 0.000 0.691
In4 0.813 0.500 0.374
In5 0.187 0.500 0.626
Cl1 0.961 0.193 0.699
Cl2 0.802 0.692 0.000
Cl3 0.198 0.308 0.000
Cl4 0.660 0.193 0.301
Cl5 0.039 0.807 0.301
Cl6 0.340 0.807 0.699
Li1 0.000 0.000 0.000

Summary:
Formation energy from raw total energies in eV/atom: -0.946


Record 2
LiIn2Cl after structural relaxation, computed with PBE-GGA.

Unit cell a=3.485 b=3.485 c=7.696 alpha=90.00 beta=90.00 gamma=90.00
Fractional coordinates of all 4 atoms:
In1 0.000 0.000 0.029
In2 0.000 0.000 0.471
Li1 0.500 0.500 0.250
Cl1 0.500 0.500 0.750

Summary:
Formation energy from raw total energies in eV/atom: -0.307


Record 3
Li2InCl4 after structural relaxation, computed with PBE-GGA.

Unit cell a=5.383 b=5.383 c=7.813 alpha=69.85 beta=69.85 gamma=90.00
Fractional coordinates of all 7 atoms:
Cl1 0.198 0.198 0.603
Cl2 0.802 0.802 0.397
Cl3 0.500 0.000 0.000
Cl4 0.000 0.500 0.000
Li1 0.361 0.361 0.277
Li2 0.639 0.639 0.723
In1 0.000 0.000 0.000

Summary:
Formation energy from raw total energies in eV/atom: -1.187


Record 4
LiIn2Cl2 after structural relaxation, computed with PBE-GGA.

Unit cell a=6.687 b=6.687 c=5.583 alpha=90.00 beta=90.00 gamma=90.00
Fractional coordinates of all 10 atoms:
In1 0.810 0.310 0.500
In2 0.190 0.690 0.500
In3 0.690 0.810 0.500
In4 0.310 0.190 0.500
Li1 0.000 0.000 0.000
Li2 0.500 0.500 0.000
Cl1 0.691 0.191 0.000
Cl2 0.191 0.309 0.000
Cl3 0.809 0.691 0.000
Cl4 0.309 0.809 0.000

Summary:
Formation energy from raw total energies in eV/atom: -0.842


Record 5
Li3InCl after structural relaxation, computed with PBE-GGA.

Unit cell a=4.693 b=4.693 c=4.693 alpha=90.00 beta=90.00 gamma=90.00
Fractional coordinates of all 5 atoms:
In1 0.500 0.500 0.500
Li1 0.000 0.000 0.500
Li2 0.500 0.000 0.000
Li3 0.000 0.500 0.000
Cl1 0.000 0.000 0.000

Summary:
Formation energy from raw total energies in eV/atom: -0.644


Record 6
Li5In3Cl12 after structural relaxation, computed with PBE-GGA.

Unit cell a=13.294 b=13.294 c=13.294 alpha=109.47 beta=109.47 gamma=109.47
Fractional coordinates of all 80 atoms:
Cl1 0.907 0.085 0.869
Cl2 0.131 0.415 0.093
Cl3 0.085 0.178 0.216
Cl4 0.093 0.178 0.462
Cl5 0.678 0.462 0.593
Cl6 0.822 0.907 0.038
Cl7 0.216 0.678 0.085
Cl8 0.869 0.284 0.462
Cl9 0.907 0.822 0.538
Cl10 0.369 0.407 0.085
Cl11 0.407 0.038 0.322
Cl12 0.585 0.869 0.407
Cl13 0.538 0.322 0.907
Cl14 0.038 0.631 0.716
Cl15 0.462 0.678 0.093
Cl16 0.407 0.369 0.585
Cl17 0.631 0.593 0.915
Cl18 0.216 0.538 0.631
Cl19 0.093 0.915 0.131
Cl20 0.822 0.915 0.284
Cl21 0.284 0.869 0.962
Cl22 0.415 0.284 0.322
Cl23 0.585 0.716 0.678
Cl24 0.538 0.216 0.131
Cl25 0.593 0.962 0.678
Cl26 0.178 0.093 0.962
Cl27 0.178 0.085 0.716
Cl28 0.322 0.784 0.415
Cl29 0.915 0.093 0.631
Cl30 0.369 0.962 0.784
Cl31 0.038 0.407 0.822
Cl32 0.085 0.907 0.369
Cl33 0.631 0.038 0.216
Cl34 0.962 0.369 0.284
Cl35 0.869 0.585 0.907
Cl36 0.131 0.716 0.538
Cl37 0.716 0.585 0.178
Cl38 0.678 0.216 0.585
Cl39 0.462 0.784 0.869
Cl40 0.322 0.538 0.407
Cl41 0.593 0.631 0.415
Cl42 0.784 0.322 0.915
Cl43 0.284 0.415 0.822
Cl44 0.915 0.822 0.784
Cl45 0.962 0.593 0.178
Cl46 0.716 0.131 0.038
Cl47 0.784 0.462 0.369
Cl48 0.415 0.131 0.593
Li1 0.500 0.000 0.500
Li2 0.125 0.375 0.250
Li3 0.625 0.750 0.875
Li4 0.250 0.875 0.125
Li5 0.250 0.375 0.625
Li6 0.625 0.875 0.250
Li7 0.500 0.500 0.000
Li8 0.375 0.125 0.750
Li9 0.000 0.500 0.000
Li10 0.750 0.125 0.875
Li11 0.000 0.500 0.500
Li12 0.000 0.000 0.000
Li13 0.125 0.750 0.375
Li14 0.875 0.250 0.625
Li15 0.500 0.000 0.000
Li16 0.875 0.625 0.750
Li17 0.000 0.000 0.500
Li18 0.375 0.250 0.125
Li19 0.500 0.500 0.500
Li20 0.750 0.625 0.375
In1 0.375 0.750 0.625
In2 0.125 0.875 0.750
In3 0.625 0.250 0.375
In4 0.250 0.125 0.375
In5 0.750 0.875 0.625
In6 0.375 0.625 0.250
In7 0.875 0.750 0.125
In8 0.750 0.375 0.125
In9 0.875 0.125 0.250
In10 0.625 0.375 0.750
In11 0.125 0.250 0.875
In12 0.250 0.625 0.875

Summary:
Formation energy from raw total energies in eV/atom: -1.261


Record 7
Li2InCl6 after structural relaxation, computed with PBE-GGA.

Unit cell a=6.461 b=5.800 c=11.220 alpha=90.00 beta=89.32 gamma=90.00
Site moments in Bohr magnetons follow the coordinates.
Fractional coordinates of all 18 atoms:
Cl1 0.169 0.296 0.357  0.15
Cl2 0.337 0.681 0.820  0.08
Cl3 0.839 0.724 0.977  0.18
Cl4 0.339 0.776 0.477  0.18
Cl5 0.163 0.181 0.680  0.08
Cl6 0.669 0.204 0.857  0.15
Cl7 0.331 0.796 0.143  0.15
Cl8 0.837 0.819 0.320  0.08
Cl9 0.831 0.704 0.643  0.15
Cl10 0.663 0.319 0.180  0.08
Cl11 0.661 0.224 0.523  0.18
Cl12 0.161 0.276 0.023  0.18
Li1 0.992 0.471 0.813  0.00
Li2 0.492 0.029 0.313  0.00
Li3 0.008 0.529 0.187  0.00
Li4 0.508 0.971 0.687  0.00
In1 0.000 0.000 0.500  -0.01
In2 0.500 0.500 0.000  -0.01

Summary:
Formation energy from raw total energies in eV/atom: -1.176


Record 8
LiIn2Cl after structural relaxation, computed with PBE-GGA.

Unit cell a=5.917 b=5.917 c=5.917 alpha=135.20 beta=135.20 gamma=65.22
Fractional coordinates of all 4 atoms:
Cl1 0.750 0.250 0.500
In1 0.000 0.000 0.000
In2 0.250 0.750 0.500
Li1 0.500 0.500 0.000

Summary:
Formation energy from raw total energies in eV/atom: -0.348


Record 9
Li3InCl6 after structural relaxation, computed with PBE-GGA.

Unit cell a=6.455 b=6.455 c=6.984 alpha=62.48 beta=62.48 gamma=60.00
Fractional coordinates of all 10 atoms:
Cl1 0.756 0.058 0.749
Cl2 0.058 0.437 0.749
Cl3 0.570 0.241 0.252
Cl4 0.241 0.938 0.252
Cl5 0.437 0.756 0.749
Cl6 0.938 0.570 0.252
Li1 0.155 0.155 0.536
Li2 0.648 0.648 0.056
Li3 0.356 0.356 0.931
In1 0.842 0.842 0.473

Summary:
Formation energy from raw total energies in eV/atom: -1.511


Record 10
LiIn2Cl after structural relaxation, computed with PBE-GGA.

Unit cell a=9.892 b=9.892 c=9.892 alpha=20.59 beta=20.59 gamma=20.59
Fractional coordinates of all 4 atoms:
In1 0.246 0.246 0.246
In2 0.001 0.001 0.001
Li1 0.476 0.476 0.476
Cl1 0.778 0.778 0.778

Summary:
Formation energy from raw total energies in eV/atom: -0.665


Record 11
LiIn2Cl after structural relaxation, computed with PBE-GGA.

Unit cell a=6.110 b=6.110 c=6.110 alpha=148.21 beta=124.96 gamma=64.98
Fractional coordinates of all 4 atoms:
Li1 0.462 0.462 0.000
Cl1 0.311 0.811 0.500
In1 0.005 0.005 0.000
In2 0.721 0.221 0.500

Summary:
Formation energy from raw total energies in eV/atom: -0.521


Record 12
Li2In2Cl7 after structural relaxation, computed with PBE-GGA.

Unit cell a=7.162 b=7.162 c=14.079 alpha=110.62 beta=110.62 gamma=83.76
Fractional coordinates of all 22 atoms:
Cl1 0.097 0.335 0.061
Cl2 0.604 0.073 0.843
Cl3 0.047 0.953 0.750
Cl4 0.335 0.097 0.561
Cl5 0.903 0.665 0.939
Cl6 0.927 0.396 0.657
Cl7 0.953 0.047 0.250
Cl8 0.533 0.384 0.375
Cl9 0.467 0.616 0.625
Cl10 0.073 0.604 0.343
Cl11 0.396 0.927 0.157
Cl12 0.616 0.467 0.125
Cl13 0.665 0.903 0.439
Cl14 0.384 0.533 0.875
In1 0.255 0.200 0.732
In2 0.200 0.255 0.232
In3 0.800 0.745 0.768
In4 0.745 0.800 0.268
Li1 0.730 0.413 0.970
Li2 0.587 0.270 0.530
Li3 0.270 0.587 0.030
Li4 0.413 0.730 0.470

Summary:
Formation energy from raw total energies in eV/atom: -1.243


Record 13
LiInCl4 after structural relaxation, computed with PBE-GGA.

Unit cell a=5.945 b=5.945 c=10.608 alpha=90.00 beta=90.00 gamma=90.00
Fractional coordinates of all 12 atoms:
In1 0.500 0.000 0.750
In2 0.000 0.500 0.250
Cl1 0.773 0.740 0.380
Cl2 0.260 0.773 0.620
Cl3 0.260 0.227 0.880
Cl4 0.773 0.260 0.120
Cl5 0.740 0.773 0.880
Cl6 0.227 0.260 0.380
Cl7 0.227 0.740 0.120
Cl8 0.740 0.227 0.620
Li1 0.000 0.000 0.500
Li2 0.000 0.000 0.000

Summary:
Formation energy from raw total energies in eV/atom: -1.318


Record 14
LiIn2Cl2 after structural relaxation, computed with PBE-GGA.

Unit cell a=4.797 b=4.797 c=7.781 alpha=72.05 beta=72.05 gamma=90.00
Fractional coordinates of all 5 atoms:
Cl1 0.750 0.250 0.500
Cl2 0.250 0.750 0.500
Li1 0.000 0.000 0.000
In1 0.627 0.627 0.747
In2 0.373 0.373 0.253

Summary:
Formation energy from raw total energies in eV/atom: -0.444


Record 15
LiIn2Cl after structural relaxation, computed with PBE-GGA.

Unit cell a=6.878 b=6.878 c=6.878 alpha=144.91 beta=144.81 gamma=50.54
Fractional coordinates of all 4 atoms:
In1 0.999 0.999 0.000
In2 0.501 0.501 0.000
Cl1 0.250 0.750 0.500
Li1 0.750 0.250 0.500

Summary:
Formation energy from raw total energies in eV/atom: -0.466


Record 16
LiIn2Cl after structural relaxation, computed with PBE-GGA.

Unit cell a=4.026 b=4.139 c=7.022 alpha=90.00 beta=90.00 gamma=90.00
Fractional coordinates of all 4 atoms:
In1 0.000 0.000 0.000
In2 0.500 0.500 0.000
Cl1 0.000 0.500 0.500
Li1 0.500 0.000 0.500

Summary:
Formation energy from raw total energies in eV/atom: -0.462


Record 17
LiInCl4 after structural relaxation, computed with PBE-GGA.

Unit cell a=3.805 b=6.469 c=12.829 alpha=89.09 beta=90.00 gamma=90.00
Fractional coordinates of all 12 atoms:
Cl1 0.000 0.664 0.385
Cl2 0.500 0.836 0.115
Cl3 0.000 0.336 0.615
Cl4 0.500 0.182 0.397
Cl5 0.000 0.682 0.897
Cl6 0.000 0.318 0.103
Cl7 0.500 0.164 0.885
Cl8 0.500 0.818 0.603
Li1 0.500 0.500 0.000
Li2 0.000 0.000 0.500
In1 0.500 0.500 0.500
In2 0.000 0.000 0.000

Summary:
Formation energy from raw total energies in eV/atom: -1.333


Record 18
Li2In2Cl7 after structural relaxation, computed with PBE-GGA.

Unit cell a=7.333 b=7.444 c=7.444 alpha=115.96 beta=90.63 gamma=90.63
Fractional coordinates of all 11 atoms:
Li1 0.500 0.257 0.743
Li2 0.500 0.743 0.257
Cl1 0.335 0.919 0.580
Cl2 0.000 0.000 0.000
Cl3 0.665 0.420 0.081
Cl4 0.204 0.392 0.392
Cl5 0.335 0.580 0.919
Cl6 0.665 0.081 0.420
Cl7 0.796 0.608 0.608
In1 0.853 0.290 0.290
In2 0.147 0.710 0.710

Summary:
Formation energy from raw total energies in eV/atom: -1.212


Record 19
LiIn2Cl6 after structural relaxation, computed with PBE-GGA.

Unit cell a=7.176 b=10.149 c=10.149 alpha=90.94 beta=88.34 gamma=88.34
Fractional coordinates of all 18 atoms:
In1 0.513 0.867 0.634
In2 0.987 0.366 0.133
In3 0.487 0.133 0.366
In4 0.013 0.634 0.867
Cl1 0.742 0.001 0.491
Cl2 0.994 0.164 0.982
Cl3 0.494 0.982 0.164
Cl4 0.258 0.999 0.509
Cl5 0.274 0.694 0.700
Cl6 0.726 0.306 0.300
Cl7 0.006 0.836 0.018
Cl8 0.758 0.509 0.999
Cl9 0.242 0.491 0.001
Cl10 0.226 0.300 0.306
Cl11 0.774 0.700 0.694
Cl12 0.506 0.018 0.836
Li1 0.750 0.000 0.000
Li2 0.250 0.000 0.000

Summary:
Formation energy from raw total energies in eV/atom: -1.127


Record 20
Li2InCl4 after structural relaxation, computed with PBE-GGA.

Unit cell a=5.624 b=5.624 c=7.262 alpha=112.78 beta=112.78 gamma=90.00
Site moments in Bohr magnetons follow the coordinates.
Fractional coordinates of all 7 atoms:
Li1 0.250 0.750 0.500  0.00
Li2 0.750 0.250 0.500  0.00
Cl1 0.379 0.898 0.277  0.09
Cl2 0.621 0.621 0.723  0.09
Cl3 0.102 0.102 0.723  0.09
Cl4 0.898 0.379 0.277  0.09
In1 0.500 0.500 0.000  0.31

Summary:
Formation energy from raw total energies in eV/atom: -1.342


Across the entries above, magnetization takes the values 0.0 0.0 0.0 0.0 0.0 0.0 2.1 0.0 0.0 0.0 0.0 0.0 0.0 0.0 0.0 0.0 0.0 0.0 0.0 0.9 μB per cell, respectively.
Across the entries above, E_tot takes the values -38.03 -10.46 -22.26 -30.59 -13.55 -260.69 -56.46 -10.63 -34.67 -11.90 -11.32 -71.81 -39.89 -13.30 -11.10 -11.08 -40.08 -35.57 -57.23 -23.34 eV/cell, respectively.
Across the entries above, volume takes the values 350 93 198 250 103 1809 420 101 213 105 97 632 375 161 107 117 316 365 738 192 Å³/cell, respectively.